B2OsCBr after structural relaxation, computed with PBE.

Calculated values
As for the calculated density: 7.301 Mg/m³. For the formation energy from raw total energies, the calculation gives 2.105 eV per atom. The calculation puts the total DFT energy (no corrections) at -25.0 eV per formula unit. The volume comes out at 13.817 A^3/atom.

abc: 3.3057 3.3057 6.3220
angles: 90.00 90.00 90.00
Space group P4/mmm (No. 123)
Unique sites:
B  0.0000  0.5000  0.0000 x2
Os  0.0000  0.0000  0.5000 x1
C  0.5000  0.5000  0.0000 x1
Br  0.5000  0.5000  0.5000 x1